A geometry-optimized RbTi3Co structure, computed with PBE.

```
5
Lattice="4.7573 0.0000 0.0000 0.0000 4.7573 0.0000 0.0000 0.0000 4.7573" Properties=species:S:1:pos:R:3 pbc="T T T"
Rb 0.0000 0.0000 0.0000
Ti 0.0000 2.3787 2.3787
Ti 2.3787 0.0000 2.3787
Ti 2.3787 2.3787 0.0000
Co 2.3787 2.3787 2.3787
```

Computed properties:
SG = No. 221
ΔE to the lowest computed polymorph = 0.000 eV per atom
Raw total energy = -5.61 eV per atom
Crystal system = cubic
Magnetization = 0.0 μB per cell
V = 21.53 Å³/atom



A geometry-optimized Tc5Pt3 structure, computed with PBE.

```
16
Lattice="5.2553 0.0000 0.0000 2.2611 6.7124 0.0000 2.2507 -0.1480 6.7160" Properties=species:S:1:pos:R:3 pbc="T T T"
Tc 1.7289 2.7645 2.2716
Tc 3.5665 4.7464 1.9917
Tc 2.4371 0.2215 3.0661
Tc 3.5746 1.2560 5.2811
Tc 3.1509 1.0707 0.5445
Tc 6.6162 5.4936 6.1715
Tc 6.1926 5.3083 1.4349
Tc 7.3301 6.3428 3.6499
Tc 6.2007 1.8179 4.7243
Tc 8.0383 3.7998 4.4444
Pt 0.5850 0.5111 1.1139
Pt 4.6965 3.4854 6.4418
Pt 4.2955 2.1823 2.8182
Pt 5.4716 4.3820 3.8977
Pt 5.0707 3.0789 0.2742
Pt 9.1822 6.0532 5.6020
```

Computed properties:
SG = No. 2
ΔE to the lowest computed polymorph = 0.000 eV per atom
Raw total energy = -8.92 eV per atom
Crystal system = triclinic
Magnetization = 0.0 μB per cell
V = 14.81 Å³/atom



In order of appearance, N(E_F) = 10.474; 14.492 states/eV per cell.